TaRhSe2: optimized geometry, PBE.

abc: 4.6081 4.6081 4.6081
angles: 60.00 60.00 60.00
Closest atoms and distances in Å follow each position.
Atoms (fractional coordinates):
Rh1 0.5000 0.5000 0.5000  4 Se 2.82, 4 Ta 2.82
Se1 0.0000 0.0000 0.0000  4 Se 2.82, 4 Ta 2.82
Se2 0.2500 0.2500 0.2500  4 Se 2.82, 4 Rh 2.82
Ta1 0.7500 0.7500 0.7500  4 Se 2.82, 4 Rh 2.82

Values from the calculation:
The mass density comes out at 10602 kg/m³. Its space group is F-43m. The calculation puts the total energy at -6.344 eV/atom. The calculation puts the uncorrected formation energy at 0.1996 eV per atom. Its density of states at the Fermi level is 2.25 states/eV/f.u.

PmPrSe3: optimized geometry, PBE.

abc: 4.2206 7.8527 16.3681
angles: 90.00 90.00 90.00
Closest atoms and distances in Å follow each position.
Atoms (fractional coordinates):
Pm1 0.2500 0.2678 0.9568  7 Se 2.95-3.11
Pm2 0.2500 0.7678 0.5432  7 Se 2.95-3.11
Pm3 0.7500 0.2322 0.4568  7 Se 2.95-3.11
Pm4 0.7500 0.7322 0.0432  7 Se 2.95-3.11
Pr1 0.7500 0.8590 0.7972  8 Se 2.98-3.27
Pr2 0.2500 0.1410 0.2028  8 Se 2.98-3.27
Pr3 0.7500 0.3590 0.7028  8 Se 2.98-3.27
Pr4 0.2500 0.6410 0.2972  8 Se 2.98-3.27
Se1 0.2500 0.3771 0.5654  3 Pm 2.98-3.09, 2 Pr 3.09, 1 Se 3.28
Se2 0.7500 0.8510 0.2174  4 Pr 2.98-3.11, 1 Pm 3.00, 1 Se 3.28
Se3 0.7500 0.4925 0.8920  3 Pm 2.95-3.11, 2 Pr 3.27
Se4 0.7500 0.9925 0.6080  3 Pm 2.95-3.11, 2 Pr 3.27
Se5 0.7500 0.6229 0.4346  3 Pm 2.98-3.09, 2 Pr 3.09, 1 Se 3.28
Se6 0.2500 0.0075 0.3920  3 Pm 2.95-3.11, 2 Pr 3.27
Se7 0.2500 0.8771 0.9346  3 Pm 2.98-3.09, 2 Pr 3.09, 1 Se 3.28
Se8 0.7500 0.3510 0.2826  4 Pr 2.98-3.11, 1 Pm 3.00, 1 Se 3.28
Se9 0.2500 0.6490 0.7174  4 Pr 2.98-3.11, 1 Pm 3.00, 1 Se 3.28
Se10 0.2500 0.1490 0.7826  4 Pr 2.98-3.11, 1 Pm 3.00, 1 Se 3.28
Se11 0.7500 0.1229 0.0654  3 Pm 2.98-3.09, 2 Pr 3.09, 1 Se 3.28
Se12 0.2500 0.5075 0.1080  3 Pm 2.95-3.11, 2 Pr 3.27

Values from the calculation:
The mass density comes out at 6401 kg/m³. Its space group is Pnma. The calculation puts the total energy at -5.901 eV/atom. The calculation puts the uncorrected formation energy at -1.9047 eV per atom.

Hf6Ga3Fe: optimized geometry, PBE.

abc: 5.4562 7.6858 9.4159
angles: 90.00 88.38 90.00
Closest atoms and distances in Å follow each position.
Atoms (fractional coordinates):
Hf1 0.6096 0.1658 0.9431  1 Fe 2.55, 2 Ga 2.69-2.83
Hf2 0.5959 0.1875 0.5623  1 Fe 2.53, 1 Ga 2.68
Hf3 0.6482 0.4559 0.2636  1 Fe 2.37, 1 Ga 2.65
Hf4 0.3518 0.5441 0.7364  1 Fe 2.37, 1 Ga 2.65
Hf5 0.4041 0.8125 0.4377  1 Fe 2.53, 1 Ga 2.68
Hf6 0.3904 0.8342 0.0569  1 Fe 2.55, 2 Ga 2.69-2.83
Hf7 0.1096 0.3342 0.4431  1 Fe 2.55, 2 Ga 2.69-2.83
Hf8 0.0959 0.3125 0.0623  1 Fe 2.53, 1 Ga 2.68
Hf9 0.1482 0.0441 0.7636  1 Fe 2.37, 1 Ga 2.65
Hf10 0.8518 0.9559 0.2364  1 Fe 2.37, 1 Ga 2.65
Hf11 0.9041 0.6875 0.9377  1 Fe 2.53, 1 Ga 2.68
Hf12 0.8904 0.6658 0.5569  1 Fe 2.55, 2 Ga 2.69-2.83
Ga1 0.6141 0.8847 0.7430  6 Hf 2.82-2.98
Ga2 0.5000 0.5000 0.0000  6 Hf 2.65-2.69
Ga3 0.3859 0.1153 0.2570  6 Hf 2.82-2.98
Ga4 0.1141 0.6153 0.2430  6 Hf 2.82-2.98
Ga5 0.0000 0.0000 0.5000  6 Hf 2.65-2.69
Ga6 0.8859 0.3847 0.7570  6 Hf 2.82-2.98
Fe1 0.5000 0.5000 0.5000  6 Hf 2.37-2.55
Fe2 0.0000 0.0000 0.0000  6 Hf 2.37-2.55

Values from the calculation:
The mass density comes out at 11241 kg/m³. Its space group is P2_1/c. The calculation puts the total energy at -7.940 eV/atom. The calculated formation energy comes out at -213.6 meV per atom. Its density of states at the Fermi level is 8.14 states/eV/f.u.

La8Dy3Sc2: optimized geometry, PBE.

abc: 8.8559 8.8559 6.1005
angles: 73.81 73.81 83.70
Closest atoms and distances in Å follow each position.
Atoms (fractional coordinates):
La1 0.4441 0.4441 0.7929  2 Sc 3.19, 2 La 3.32-3.37, 2 Dy 3.34
La2 0.5559 0.5559 0.2071  2 Sc 3.19, 2 La 3.32-3.37, 2 Dy 3.34
La3 0.8533 0.8533 0.0867  1 Sc 3.29, 3 Dy 3.37-3.52, 1 La 3.61
La4 0.1467 0.1467 0.9133  1 Sc 3.29, 3 Dy 3.37-3.52, 1 La 3.61
La5 0.4122 0.9196 0.3480  2 La 3.38-3.57, 2 Sc 3.39-3.66, 3 Dy 3.55-3.76
La6 0.9196 0.4122 0.3480  2 La 3.38-3.57, 2 Sc 3.39-3.66, 3 Dy 3.55-3.76
La7 0.0804 0.5878 0.6520  2 La 3.38-3.57, 2 Sc 3.39-3.66, 3 Dy 3.55-3.76
La8 0.5878 0.0804 0.6520  2 La 3.38-3.57, 2 Sc 3.39-3.66, 3 Dy 3.55-3.76
Dy1 0.0000 0.0000 0.5000  8 La 3.37-3.71, 2 Sc 3.68
Dy2 0.7441 0.2559 0.0000  6 La 3.34-3.58
Dy3 0.2559 0.7441 0.0000  6 La 3.34-3.58
Sc1 0.7023 0.7023 0.6550  5 La 3.19-3.39
Sc2 0.2977 0.2977 0.3450  5 La 3.19-3.39

Values from the calculation:
The mass density comes out at 6359 kg/m³. Its space group is C2/m. The calculation puts the total energy at -4.913 eV/atom. The calculated formation energy comes out at 155.1 meV per atom. Its density of states at the Fermi level is 20.97 states/eV/f.u.

RbMnCu2Cl6: optimized geometry, PBE.

abc: 8.0110 9.2087 9.2087
angles: 80.12 69.31 69.31
Closest atoms and distances in Å follow each position.
Atoms (fractional coordinates):
Rb1 0.2500 0.8174 0.1826  6 Cl 3.20-3.52
Rb2 0.7500 0.1826 0.8174  6 Cl 3.20-3.52
Mn1 0.2500 0.1841 0.8159  4 Cl 2.30-2.34
Mn2 0.7500 0.8159 0.1841  4 Cl 2.30-2.34
Cu1 0.3340 0.7473 0.6484  4 Cl 2.27-2.39
Cu2 0.1660 0.3516 0.2527  4 Cl 2.27-2.39
Cu3 0.6660 0.2527 0.3516  4 Cl 2.27-2.39
Cu4 0.8340 0.6484 0.7473  4 Cl 2.27-2.39
Cl1 0.1824 0.9556 0.8204  1 Mn 2.34, 1 Cu 2.39
Cl2 0.3176 0.1796 0.0444  1 Mn 2.34, 1 Cu 2.39
Cl3 0.8176 0.0444 0.1796  1 Mn 2.34, 1 Cu 2.39
Cl4 0.6824 0.8204 0.9556  1 Mn 2.34, 1 Cu 2.39
Cl5 0.4822 0.8376 0.3943  1 Mn 2.30, 1 Cu 2.38
Cl6 0.0178 0.6057 0.1624  1 Mn 2.30, 1 Cu 2.38
Cl7 0.5178 0.1624 0.6057  1 Mn 2.30, 1 Cu 2.38
Cl8 0.9822 0.3943 0.8376  1 Mn 2.30, 1 Cu 2.38
Cl9 0.0829 0.7286 0.5992  2 Cu 2.27-2.28
Cl10 0.4171 0.4008 0.2714  2 Cu 2.27-2.28
Cl11 0.9171 0.2714 0.4008  2 Cu 2.27-2.28
Cl12 0.5829 0.5992 0.7286  2 Cu 2.27-2.28

Values from the calculation:
The mass density comes out at 2686 kg/m³. Its space group is C2/c. The calculation puts the total energy at -3.902 eV/atom. The calculation puts the uncorrected formation energy at -0.9608 eV per atom. Its density of states at the Fermi level is 5.06 states/eV/f.u.

VCu2Rh: optimized geometry, PBE.

abc: 2.5946 2.5946 9.5190
angles: 82.17 82.17 60.00
Closest atoms and distances in Å follow each position.
Atoms (fractional coordinates):
Rh1 0.5000 0.5000 0.5000  6 Rh 2.59, 6 Cu 2.68
Cu1 0.0877 0.0877 0.7369  1 V 2.47, 6 Cu 2.59, 3 Rh 2.68
Cu2 0.9123 0.9123 0.2631  1 V 2.47, 6 Cu 2.59, 3 Rh 2.68
V1 0.0000 0.0000 0.0000  2 Cu 2.47, 6 V 2.59

Values from the calculation:
The mass density comes out at 8512 kg/m³. Its space group is R-3m. The calculation puts the total energy at -5.824 eV/atom. The calculated formation energy comes out at 341.7 meV per atom. Its density of states at the Fermi level is 5.18 states/eV/f.u.